[1]
CrSnPbCl6 GGA-PBE relaxed; ΔE_f (raw) = -990.7 meV per atom; space-group type = P-31c, No. 163
1.0
6.940 0.000 0.000
-3.470 6.011 0.000
0.000 0.000 12.234
Cl Sn Cr Pb
12 2 2 2
Cartesian
2.505 3.796 1.592 Cl
5.505 1.943 1.592 Cl
-2.035 4.068 10.642 Cl
4.435 3.796 4.525 Cl
2.035 4.068 7.709 Cl
1.435 1.943 4.525 Cl
2.400 0.271 1.592 Cl
-0.965 2.214 7.709 Cl
4.540 0.271 4.525 Cl
-1.070 5.739 7.709 Cl
0.965 2.214 10.642 Cl
1.070 5.739 10.642 Cl
0.000 0.000 0.000 Sn
0.000 0.000 6.117 Sn
3.470 2.004 3.059 Cr
0.000 4.007 9.176 Cr
3.470 2.004 9.176 Pb
0.000 4.007 3.059 Pb

[2]
CrSn2PbCl8 GGA-PBE relaxed; ΔE_f (raw) = -993.1 meV per atom; space-group type = P-1, No. 2
1.0
-4.247 -5.232 -1.138
2.320 -1.099 -5.873
5.584 -5.394 3.136
Cl Sn Pb Cr
8 2 1 1
Cartesian
-0.701 -2.144 -1.894 Cl
2.374 -2.690 -4.065 Cl
5.573 -5.996 -2.379 Cl
1.284 -9.034 0.191 Cl
1.706 -7.160 -3.428 Cl
4.358 -9.580 -1.981 Cl
1.951 -4.564 -0.447 Cl
-1.916 -5.727 -1.495 Cl
3.279 -7.339 -1.138 Sn
0.379 -4.384 -2.737 Sn
2.792 -2.697 1.568 Pb
0.000 0.000 0.000 Cr

[3]
SrCrPb2Cl8 GGA-PBE relaxed; ΔE_f (raw) = -1394.9 meV per atom; space-group type = P2/m, No. 10
1.0
-0.741 4.330 -5.236
-6.080 1.495 1.693
2.878 6.284 4.790
Pb Cl Cr Sr
2 8 1 1
Cartesian
-1.205 7.727 1.898 Pb
-2.737 4.382 -0.651 Pb
-1.304 5.315 -3.093 Cl
0.367 8.963 -0.312 Cl
-4.310 3.146 1.560 Cl
-3.484 7.163 0.078 Cl
-0.458 4.945 1.169 Cl
1.071 8.079 3.522 Cl
-5.013 4.030 -2.274 Cl
-2.639 6.794 4.340 Cl
0.000 0.000 0.000 Cr
1.439 3.142 2.395 Sr

[4]
TlCr2PbCl8 GGA-PBE relaxed; ΔE_f (raw) = -937.0 meV per atom; space-group type = I-4m2, No. 119
1.0
-2.938 -4.130 -6.115
7.685 -1.225 1.586
-4.032 -2.321 6.437
Cl Tl Pb Cr
8 1 1 2
Cartesian
-4.364 -4.643 -0.065 Cl
-3.167 -3.403 3.468 Cl
-0.789 -6.169 -0.472 Cl
2.226 -2.404 0.021 Cl
0.470 -4.731 3.322 Cl
-2.017 -2.471 -0.173 Cl
1.903 -4.814 -2.995 Cl
-2.020 -4.975 -3.174 Cl
0.000 0.000 0.000 Tl
3.014 -3.112 2.879 Pb
-2.298 -4.564 -0.971 Cr
2.374 -2.678 -2.265 Cr

[5]
Tl2CrPbCl6 GGA-PBE relaxed; ΔE_f (raw) = -1022.9 meV per atom; space-group type = P-1, No. 2
1.0
-3.000 2.953 -6.403
-6.581 -2.338 3.022
4.279 4.176 4.078
Cr Cl Pb Tl
1 6 1 2
Cartesian
1.276 7.128 -2.325 Cr
0.041 5.813 -0.100 Cl
-0.901 2.061 0.819 Cl
2.297 3.827 2.773 Cl
-4.407 2.727 -0.120 Cl
-5.349 -1.025 0.799 Cl
-7.606 0.962 -2.074 Cl
-0.515 4.482 2.389 Pb
-3.540 0.916 2.585 Tl
-1.769 3.871 -1.886 Tl

[6]
ZnCr2PbCl GGA-PBE relaxed; ΔE_f (raw) = 824.8 meV per atom; space-group type = P4/mmm, No. 123
1.0
4.558 0.000 0.000
0.000 5.786 0.000
0.000 0.000 4.558
Cl Pb Zn Cr
1 1 1 2
Cartesian
0.000 0.000 0.000 Cl
0.000 2.893 0.000 Pb
2.279 2.893 2.279 Zn
0.000 0.000 2.279 Cr
2.279 0.000 0.000 Cr

[7]
CrPdCl2 GGA-PBE relaxed; ΔE_f (raw) = 52.9 meV per atom; space-group type = R-3m, No. 166; offset from the most stable computed form = 71.8 kJ/mol of formula units
1.0
-4.527 6.101 -0.430
-2.960 6.238 3.199
-0.888 7.557 0.100
Cl Cr Pd
2 1 1
Cartesian
-7.502 17.823 2.570 Cl
-0.872 2.073 0.299 Cl
0.000 0.000 0.000 Cr
-4.187 9.948 1.434 Pd

[8]
CrPdCl2 GGA-PBE relaxed; ΔE_f (raw) = 16.3 meV per atom; space-group type = Fm-3m, No. 225; offset from the most stable computed form = 57.6 kJ/mol of formula units
1.0
-3.306 -2.199 -2.331
-4.321 -0.008 1.590
-3.262 2.403 -2.187
Cr Cl Pd
1 2 1
Cartesian
0.000 0.000 0.000 Cr
-2.722 0.049 -0.732 Cl
-8.167 0.147 -2.196 Cl
-5.444 0.098 -1.464 Pd

[9]
CrPd2Cl GGA-PBE relaxed; ΔE_f (raw) = 729.6 meV per atom; space-group type = Fm-3m, No. 225; offset from the most stable computed form = 143.9 kJ/mol of formula units
1.0
0.677 -0.818 4.308
-3.271 0.659 2.924
-1.976 -3.468 1.937
Pd Cl Cr
2 1 1
Cartesian
-3.428 -2.720 6.876 Pd
-1.143 -0.907 2.292 Pd
0.000 0.000 0.000 Cl
-2.285 -1.814 4.584 Cr

[10]
CrPdCl2 GGA-PBE relaxed; ΔE_f (raw) = -48.7 meV per atom; space-group type = R-3m, No. 166; offset from the most stable computed form = 32.6 kJ/mol of formula units
1.0
1.801 0.000 7.875
-0.901 1.560 7.875
-0.901 -1.560 7.875
Cl Cr Pd
2 1 1
Cartesian
0.000 0.000 21.210 Cl
0.000 0.000 2.416 Cl
0.000 0.000 11.813 Cr
0.000 0.000 0.000 Pd

[11]
CrPdCl2 GGA-PBE relaxed; ΔE_f (raw) = -133.1 meV per atom; space-group type = I-42d, No. 122; offset from the most stable computed form = 0.0 kJ/mol of formula units
1.0
-3.759 2.937 0.703
-2.281 -2.026 -3.734
-5.971 -4.381 2.913
Cl Cr Pd
4 2 2
Cartesian
-9.727 -2.456 -0.408 Cl
-4.068 0.441 0.690 Cl
-6.780 -2.976 0.989 Cl
-3.448 -1.948 -1.506 Cl
-5.636 -2.976 -1.168 Cr
-3.020 0.455 -1.515 Cr
0.000 0.000 0.000 Pd
-6.375 -0.494 1.050 Pd

[12]
CrPd2Cl GGA-PBE relaxed; ΔE_f (raw) = 356.7 meV per atom; space-group type = I-42d, No. 122; offset from the most stable computed form = 0.0 kJ/mol of formula units
1.0
7.220 0.000 0.000
0.000 7.220 0.000
3.610 3.610 2.658
Pd Cl Cr
4 2 2
Cartesian
9.025 9.037 1.994 Pd
5.427 1.805 0.665 Pd
5.415 5.403 1.994 Pd
1.793 5.415 0.665 Pd
3.610 7.220 1.329 Cl
3.610 3.610 0.000 Cl
0.000 0.000 0.000 Cr
7.220 3.610 1.329 Cr

[13]
CrPd2Cl2 GGA-PBE relaxed; ΔE_f (raw) = 265.1 meV per atom; space-group type = P4/mmm, No. 123
1.0
4.528 0.000 0.000
0.000 4.528 0.000
0.000 0.000 5.086
Pd Cl Cr
2 2 1
Cartesian
0.000 0.000 2.543 Pd
2.264 2.264 2.543 Pd
0.000 2.264 0.000 Cl
2.264 0.000 0.000 Cl
0.000 0.000 0.000 Cr

[14]
RbCrPdCl6 GGA-PBE relaxed; ΔE_f (raw) = -1049.5 meV per atom; space-group type = P312, No. 149
1.0
-3.054 5.565 0.938
-4.918 0.308 4.111
4.681 1.646 5.477
Cl Cr Pd Rb
6 1 1 1
Cartesian
-3.364 6.081 4.200 Cl
-2.842 2.819 4.734 Cl
-2.763 3.527 8.120 Cl
-2.956 6.768 7.311 Cl
-0.623 4.828 5.900 Cl
-5.299 4.407 6.357 Cl
-2.974 4.738 6.104 Cr
-0.317 2.781 4.421 Pd
1.626 7.211 6.414 Rb

[15]
CrPdSCl2 GGA-PBE relaxed; ΔE_f (raw) = -22.2 meV per atom; space-group type = P4/mmm, No. 123; offset from the most stable computed form = 0.0 kJ/mol of formula units
1.0
4.744 0.000 0.000
0.000 4.744 0.000
0.000 0.000 4.596
S Pd Cl Cr
1 1 2 1
Cartesian
0.000 0.000 2.298 S
2.372 2.372 2.298 Pd
2.372 0.000 0.000 Cl
0.000 2.372 0.000 Cl
0.000 0.000 0.000 Cr

[16]
CrPdSCl2 GGA-PBE relaxed; ΔE_f (raw) = 177.2 meV per atom; space-group type = P4/mmm, No. 123; offset from the most stable computed form = 96.2 kJ/mol of formula units
1.0
4.796 0.000 0.000
0.000 4.796 0.000
0.000 0.000 4.813
Cl Pd Cr S
2 1 1 1
Cartesian
2.398 0.000 0.000 Cl
0.000 2.398 0.000 Cl
0.000 0.000 0.000 Pd
2.398 2.398 2.406 Cr
0.000 0.000 2.406 S

[17]
CrPd2WCl GGA-PBE relaxed; ΔE_f (raw) = 1116.0 meV per atom; space-group type = P4/mmm, No. 123
1.0
-1.860 -0.753 -4.056
1.442 -4.186 0.116
-3.854 -1.272 2.003
Cl Cr Pd W
1 1 2 1
Cartesian
0.000 0.000 0.000 Cl
-2.136 -3.105 -0.969 Cr
-1.927 -0.636 1.002 Pd
-0.930 -0.376 -2.028 Pd
0.721 -2.093 0.058 W

[18]
PmCrCl5 GGA-PBE relaxed; ΔE_f (raw) = -1639.3 meV per atom; space-group type = C2/c, No. 15
1.0
7.021 -0.515 -0.212
1.739 6.822 -0.212
2.885 2.077 7.975
Cl Cr Pm
10 2 2
Cartesian
3.778 4.685 0.081 Cl
4.494 7.560 5.769 Cl
7.399 4.748 0.716 Cl
8.293 6.549 4.704 Cl
7.152 0.824 1.781 Cl
7.868 3.699 7.469 Cl
3.353 1.835 2.846 Cl
4.246 3.636 6.834 Cl
7.085 3.135 4.069 Cl
4.561 5.249 3.481 Cl
0.000 0.000 0.000 Cr
1.443 1.039 3.988 Cr
5.423 3.227 1.781 Pm
6.223 5.157 5.769 Pm

[19]
PmCrCl6 GGA-PBE relaxed; ΔE_f (raw) = -1604.4 meV per atom; space-group type = R-3, No. 148
1.0
6.436 0.008 0.009
3.211 5.578 0.013
3.208 1.854 5.846
Cr Cl Pm
1 6 1
Cartesian
0.000 0.000 0.000 Cr
4.175 3.539 4.494 Cl
5.150 5.582 1.372 Cl
5.459 1.684 1.367 Cl
7.396 5.756 4.501 Cl
8.679 3.900 1.375 Cl
7.705 1.858 4.496 Cl
6.427 3.720 2.934 Pm

[20]
RbPmCrCl6 GGA-PBE relaxed; ΔE_f (raw) = -1717.2 meV per atom; space-group type = Imma, No. 74
1.0
9.922 0.000 0.000
0.000 9.348 0.000
-4.961 -4.674 6.800
Cl Cr Pm Rb
12 2 2 2
Cartesian
1.787 4.909 5.006 Cl
6.748 -0.235 1.793 Cl
-1.787 -0.235 5.006 Cl
3.174 -0.235 1.793 Cl
0.000 7.011 2.194 Cl
-1.787 4.909 5.006 Cl
3.174 4.909 1.793 Cl
4.961 2.337 0.477 Cl
6.748 4.909 1.793 Cl
4.961 -2.337 4.606 Cl
0.000 2.337 6.323 Cl
1.787 -0.235 5.006 Cl
4.961 0.000 0.000 Cr
4.961 4.674 0.000 Cr
2.481 -2.337 3.400 Pm
-2.481 -2.337 3.400 Pm
4.961 2.337 3.705 Rb
0.000 2.337 3.095 Rb